(1)
DFT (PBE) results for a relaxed structure of HoTmMg2.

Output
Formation energy from the elements: -0.068 eV/atom
Calculated density: 5.95 g/cm3
Raw total energy: -12.51 eV per formula unit
Space-group type: P4/mmm

a = 3.7423 Å, b = 5.3393 Å, c = 5.3393 Å
α = 90.00°, β = 90.00°, γ = 90.00°
Closest atoms and distances in Å follow each position.
Atoms (fractional coordinates):
Mg  0.0000  0.0000  0.5000  4 Ho 3.26, 4 Tm 3.26
Mg  0.0000  0.5000  0.0000  4 Ho 3.26, 4 Tm 3.26
Tm  0.5000  0.0000  0.0000  8 Mg 3.26
Ho  0.5000  0.5000  0.5000  8 Mg 3.26

---

(2)
DFT (PBE) results for a relaxed structure of Nd4TmTl.

Output
Distance to the lowest polymorph of the same formula: 80.4 meV per atom
Formation energy from the elements: -0.019 eV/atom
Calculated density: 7.88 g/cm3
Raw total energy: -26.02 eV per formula unit
Space-group type: C2/c

a = 6.5920 Å, b = 9.1635 Å, c = 8.4834 Å
α = 112.87°, β = 100.25°, γ = 112.95°
Closest atoms and distances in Å follow each position.
Atoms (fractional coordinates):
Nd  0.0472  0.1699  0.7635  2 Tl 3.37-3.42, 4 Nd 3.41-3.76, 2 Tm 3.50-3.60
Nd  0.7579  0.7124  0.6192  2 Tl 3.30-3.31, 4 Nd 3.41-3.67, 1 Tm 3.66
Nd  0.2163  0.5937  0.7635  2 Tl 3.37-3.42, 4 Nd 3.41-3.76, 2 Tm 3.50-3.60
Nd  0.3613  0.9068  0.6192  2 Tl 3.30-3.31, 4 Nd 3.41-3.67, 1 Tm 3.66
Nd  0.6387  0.0932  0.3808  2 Tl 3.30-3.31, 4 Nd 3.41-3.67, 1 Tm 3.66
Nd  0.7837  0.4063  0.2365  2 Tl 3.37-3.42, 4 Nd 3.41-3.76, 2 Tm 3.50-3.60
Nd  0.2421  0.2876  0.3808  2 Tl 3.30-3.31, 4 Nd 3.41-3.67, 1 Tm 3.66
Nd  0.9528  0.8301  0.2365  2 Tl 3.37-3.42, 4 Nd 3.41-3.76, 2 Tm 3.50-3.60
Tm  0.3400  0.5900  0.1801  8 Nd 3.50-3.70
Tm  0.6600  0.4100  0.8199  8 Nd 3.50-3.70
Tl  0.2508  0.0008  0.0017  2 Tl 3.30, 8 Nd 3.30-3.42
Tl  0.7492  0.9992  0.9983  2 Tl 3.30, 8 Nd 3.30-3.42

---

(3)
DFT (PBE) results for a relaxed structure of ThNpIn6.

Output
Formation energy from the elements: -0.177 eV/atom
Calculated density: 9.31 g/cm3
Raw total energy: -38.21 eV per formula unit
Space-group type: P4/mmm

a = 4.6860 Å, b = 4.6860 Å, c = 9.4069 Å
α = 90.00°, β = 90.00°, γ = 90.00°
Closest atoms and distances in Å follow each position.
Atoms (fractional coordinates):
Th  0.0000  0.0000  0.0000  12 In 3.31-3.37
Np  0.0000  0.0000  0.5000  12 In 3.27-3.31
In  0.5000  0.5000  0.0000  4 Th 3.31, 8 In 3.37
In  0.5000  0.5000  0.5000  8 In 3.27, 4 Np 3.31
In  0.5000  0.0000  0.2570  8 In 3.27-3.37, 2 Np 3.27, 2 Th 3.37
In  0.5000  0.0000  0.7430  8 In 3.27-3.37, 2 Np 3.27, 2 Th 3.37
In  0.0000  0.5000  0.2570  8 In 3.27-3.37, 2 Np 3.27, 2 Th 3.37
In  0.0000  0.5000  0.7430  8 In 3.27-3.37, 2 Np 3.27, 2 Th 3.37

---

(4)
DFT (PBE) results for a relaxed structure of TmLuBe2.

Output
Distance to the lowest polymorph of the same formula: 1.4 meV per atom
Formation energy from the elements: 0.056 eV/atom
Calculated density: 8.03 g/cm3
Raw total energy: -16.22 eV per formula unit
Space-group type: P4/mmm

a = 3.3610 Å, b = 4.7191 Å, c = 4.7191 Å
α = 90.00°, β = 90.00°, γ = 90.00°
Closest atoms and distances in Å follow each position.
Atoms (fractional coordinates):
Be  0.0000  0.0000  0.5000  4 Tm 2.90, 4 Lu 2.90
Be  0.0000  0.5000  0.0000  4 Tm 2.90, 4 Lu 2.90
Lu  0.5000  0.0000  0.0000  8 Be 2.90
Tm  0.5000  0.5000  0.5000  8 Be 2.90

---

(5)
DFT (PBE) results for a relaxed structure of Dy2TiZnO6.

Output
Formation energy from raw total energies: -274 kJ per mole of atoms
Calculated density: 6.65 g/cm3
Raw total energy: -76.57 eV per formula unit
Space-group type: P4mm

a = 4.9658 Å, b = 5.1836 Å, c = 5.1836 Å
α = 90.00°, β = 90.00°, γ = 90.00°
Closest atoms and distances in Å follow each position.
Atoms (fractional coordinates):
Dy  0.9929  0.5000  0.0000  4 O 2.25
Dy  0.9929  0.0000  0.5000  4 O 2.25
Ti  0.5889  0.0000  0.0000  5 O 1.84-1.92
Zn  0.5557  0.5000  0.5000  5 O 1.91-2.08
O  0.7320  0.2427  0.2427  1 Ti 1.92, 1 Zn 2.08
O  0.7320  0.2427  0.7573  1 Ti 1.92, 1 Zn 2.08
O  0.1704  0.5000  0.5000  1 Zn 1.91
O  0.2181  0.0000  0.0000  1 Ti 1.84
O  0.7320  0.7573  0.7573  1 Ti 1.92, 1 Zn 2.08
O  0.7320  0.7573  0.2427  1 Ti 1.92, 1 Zn 2.08

---

(6)
DFT (PBE) results for a relaxed structure of BeSb2Ir.

Output
Formation energy from raw total energies: 28 kJ per mole of atoms
Calculated density: 7.60 g/cm3
Raw total energy: -19.68 eV per formula unit
Space-group type: I-42d

a = 5.8821 Å, b = 5.8821 Å, c = 6.9898 Å
α = 65.12°, β = 65.12°, γ = 90.00°
Closest atoms and distances in Å follow each position.
Atoms (fractional coordinates):
Sb  0.6075  0.1250  0.2500  2 Be 2.45, 2 Ir 2.57
Sb  0.1425  0.6250  0.2500  2 Be 2.45, 2 Ir 2.57
Sb  0.3750  0.3925  0.7500  2 Be 2.45, 2 Ir 2.57
Sb  0.8750  0.8575  0.7500  2 Be 2.45, 2 Ir 2.57
Ir  0.0000  0.0000  0.0000  4 Sb 2.57
Ir  0.7500  0.2500  0.5000  4 Sb 2.57
Be  0.5000  0.5000  0.0000  4 Sb 2.45
Be  0.2500  0.7500  0.5000  4 Sb 2.45

---

(7)
DFT (PBE) results for a relaxed structure of Na2CaTl2Bi2.

Output
Formation energy from the elements: -0.275 eV/atom
Calculated density: 6.85 g/cm3
Raw total energy: -19.06 eV per formula unit
Space-group type: R-3m

a = 5.4750 Å, b = 5.4750 Å, c = 9.0866 Å
α = 72.47°, β = 72.47°, γ = 60.00°
Closest atoms and distances in Å follow each position.
Atoms (fractional coordinates):
Na  0.1392  0.1392  0.5824  1 Bi 3.26, 3 Tl 3.36, 3 Na 3.46, 1 Ca 3.56
Na  0.8608  0.8608  0.4176  1 Bi 3.26, 3 Tl 3.36, 3 Na 3.46, 1 Ca 3.56
Ca  0.0000  0.0000  0.0000  2 Na 3.56, 6 Bi 3.59, 6 Tl 3.97
Tl  0.5724  0.5724  0.2828  3 Bi 3.24, 3 Na 3.36
Tl  0.4276  0.4276  0.7172  3 Bi 3.24, 3 Na 3.36
Bi  0.7334  0.7334  0.7998  3 Tl 3.24, 1 Na 3.26, 3 Ca 3.59
Bi  0.2666  0.2666  0.2002  3 Tl 3.24, 1 Na 3.26, 3 Ca 3.59

---

(8)
DFT (PBE) results for a relaxed structure of TaAg2AsAu.

Output
Formation energy from the elements: 1.131 eV/atom
Calculated density: 8.33 g/cm3
Raw total energy: -19.83 eV per formula unit
Space-group type: P4/mmm

a = 5.2417 Å, b = 4.8502 Å, c = 5.2417 Å
α = 90.00°, β = 90.00°, γ = 90.00°
Closest atoms and distances in Å follow each position.
Atoms (fractional coordinates):
As  0.0000  0.5000  0.0000  2 Ta 2.43
Au  0.5000  0.5000  0.5000  8 Ag 3.57, 4 As 3.71
Ag  0.0000  0.0000  0.5000  2 Ta 2.62
Ag  0.5000  0.0000  0.0000  2 Ta 2.62
Ta  0.0000  0.0000  0.0000  2 As 2.43, 4 Ag 2.62

---

(9)
DFT (PBE) results for a relaxed structure of Sm3HfTl4Se8.

Output
Formation energy from raw total energies: -120 kJ per mole of atoms
Calculated density: 7.35 g/cm3
Raw total energy: -81.36 eV per formula unit
Space-group type: R-3m

a = 8.3209 Å, b = 9.1895 Å, c = 8.3214 Å
α = 116.93°, β = 120.00°, γ = 90.00°
Closest atoms and distances in Å follow each position.
Atoms (fractional coordinates):
Sm  0.5000  0.5000  0.0000  6 Se 2.93-2.95
Sm  0.5000  0.5000  0.5000  6 Se 2.93-2.95
Sm  0.0000  0.5000  0.5000  6 Se 2.93-2.95
Hf  0.0000  0.5000  0.0000  6 Se 2.74
Tl  0.5000  0.0000  0.0000  6 Se 3.47
Tl  0.5000  0.0000  0.5000  6 Se 3.29
Tl  0.0000  0.0000  0.0000  6 Se 3.29
Tl  0.0000  0.0000  0.5000  6 Se 3.29
Se  0.2227  0.7030  0.9803  1 Hf 2.74, 2 Sm 2.95
Se  0.2228  0.7030  0.4455  1 Hf 2.74, 2 Sm 2.95
Se  0.2622  0.2868  0.5245  3 Sm 2.93
Se  0.7576  0.7030  0.9803  1 Hf 2.74, 2 Sm 2.95
Se  0.2424  0.2970  0.0197  1 Hf 2.74, 2 Sm 2.95
Se  0.7378  0.7132  0.4755  3 Sm 2.93
Se  0.7772  0.2970  0.5545  1 Hf 2.74, 2 Sm 2.95
Se  0.7773  0.2970  0.0197  1 Hf 2.74, 2 Sm 2.95

---

(10)
DFT (PBE) results for a relaxed structure of ThAsPt2.

Output
Formation energy from the elements: -0.738 eV/atom
Calculated density: 13.83 g/cm3
Raw total energy: -27.10 eV per formula unit
Space-group type: R-3m

a = 5.0791 Å, b = 5.0791 Å, c = 4.7583 Å
α = 57.74°, β = 57.74°, γ = 60.00°
Closest atoms and distances in Å follow each position.
Atoms (fractional coordinates):
As  0.0000  0.0000  0.0000  2 Pt 2.55
Pt  0.2267  0.2267  0.3200  1 As 2.55
Pt  0.7733  0.7733  0.6800  1 As 2.55
Th  0.5000  0.5000  0.5000  8 Pt 3.01-3.07

---

(11)
DFT (PBE) results for a relaxed structure of UTe3Pd12.

Output
Formation energy from raw total energies: -27 kJ per mole of atoms
Calculated density: 11.30 g/cm3
Raw total energy: -87.56 eV per formula unit
Space-group type: P4/mmm

a = 4.0994 Å, b = 4.0994 Å, c = 16.5995 Å
α = 90.00°, β = 90.00°, γ = 90.00°
Closest atoms and distances in Å follow each position.
Atoms (fractional coordinates):
U  0.0000  0.0000  0.0000  12 Pd 2.84-2.90
Te  0.0000  0.0000  0.2603  8 Pd 2.78-2.91
Te  0.0000  0.0000  0.5000  12 Pd 2.90-2.94
Te  0.0000  0.0000  0.7397  8 Pd 2.78-2.91
Pd  0.5000  0.5000  0.0000  8 Pd 2.84, 4 U 2.90
Pd  0.5000  0.5000  0.2423  8 Pd 2.91-2.99, 4 Te 2.91
Pd  0.5000  0.5000  0.5000  4 Te 2.90, 8 Pd 2.94
Pd  0.5000  0.5000  0.7577  8 Pd 2.91-2.99, 4 Te 2.91
Pd  0.5000  0.0000  0.1182  8 Pd 2.84-2.91, 2 U 2.84, 2 Te 3.13
Pd  0.5000  0.0000  0.3733  4 Te 2.78-2.94, 8 Pd 2.90-2.99
Pd  0.5000  0.0000  0.6267  4 Te 2.78-2.94, 8 Pd 2.90-2.99
Pd  0.5000  0.0000  0.8818  8 Pd 2.84-2.91, 2 U 2.84, 2 Te 3.13
Pd  0.0000  0.5000  0.1182  2 U 2.84, 8 Pd 2.84-2.91, 2 Te 3.13
Pd  0.0000  0.5000  0.3733  4 Te 2.78-2.94, 8 Pd 2.90-2.99
Pd  0.0000  0.5000  0.6267  4 Te 2.78-2.94, 8 Pd 2.90-2.99
Pd  0.0000  0.5000  0.8818  8 Pd 2.84-2.91, 2 U 2.84, 2 Te 3.13

---

(12)
DFT (PBE) results for a relaxed structure of HfZr2Br.

Output
Distance to the lowest polymorph of the same formula: 28.9 meV per atom
Formation energy from raw total energies: 42 kJ per mole of atoms
Calculated density: 8.28 g/cm3
Raw total energy: -26.97 eV per formula unit
Space-group type: Fm-3m

a = 5.0006 Å, b = 5.0006 Å, c = 5.0006 Å
α = 60.00°, β = 60.00°, γ = 60.00°
Closest atoms and distances in Å follow each position.
Atoms (fractional coordinates):
Hf  0.5000  0.5000  0.5000  8 Zr 3.06
Br  0.0000  0.0000  0.0000  8 Zr 3.06
Zr  0.2500  0.2500  0.2500  4 Hf 3.06, 4 Br 3.06
Zr  0.7500  0.7500  0.7500  4 Hf 3.06, 4 Br 3.06

---

(13)
DFT (PBE) results for a relaxed structure of La3SeI7.

Output
Formation energy from raw total energies: -152 kJ per mole of atoms
Calculated density: 4.13 g/cm3
Raw total energy: -46.41 eV per formula unit
Space-group type: P3m1

a = 7.4871 Å, b = 9.2614 Å, c = 9.2614 Å
α = 120.00°, β = 90.00°, γ = 90.00°
Closest atoms and distances in Å follow each position.
Atoms (fractional coordinates):
La  0.7720  0.4925  0.5075  1 Se 2.90, 4 I 3.19-3.20
La  0.7720  0.4925  0.9849  1 Se 2.90, 4 I 3.19-3.20
La  0.7720  0.0151  0.5075  1 Se 2.90, 4 I 3.19-3.20
Se  0.5891  0.3333  0.6667  3 La 2.90
I  0.0206  0.1695  0.8305  2 La 3.19
I  0.0206  0.1695  0.3390  2 La 3.19
I  0.0199  0.6667  0.3333  3 La 3.35
I  0.5428  0.8283  0.1717  2 La 3.20
I  0.5428  0.3434  0.1717  2 La 3.20
I  0.5428  0.8283  0.6566  2 La 3.20
I  0.0206  0.6610  0.8305  2 La 3.19

---

(14)
DFT (PBE) results for a relaxed structure of AcNb2H.

Output
Calculated density: 8.49 g/cm3
Raw total energy: -25.67 eV per formula unit
Space-group type: R-3m

a = 3.3974 Å, b = 3.3974 Å, c = 8.3270 Å
α = 78.23°, β = 78.23°, γ = 60.00°
Closest atoms and distances in Å follow each position.
Atoms (fractional coordinates):
H  0.5000  0.5000  0.5000  6 Nb 2.17
Ac  0.0000  0.0000  0.0000  2 Nb 3.12, 6 Ac 3.40
Nb  0.1284  0.1284  0.6148  3 H 2.17
Nb  0.8716  0.8716  0.3852  3 H 2.17

---

(15)
DFT (PBE) results for a relaxed structure of LaZr2Cl.

Output
Distance to the lowest polymorph of the same formula: 92.1 meV per atom
Formation energy from raw total energies: -28 kJ per mole of atoms
Calculated density: 6.03 g/cm3
Raw total energy: -25.05 eV per formula unit
Space-group type: Immm

a = 6.7297 Å, b = 6.7297 Å, c = 5.0636 Å
α = 67.95°, β = 67.95°, γ = 27.68°
Closest atoms and distances in Å follow each position.
Atoms (fractional coordinates):
Cl  0.2500  0.2500  0.2500  4 La 3.00, 4 Zr 3.03, 2 Cl 3.22
La  0.7500  0.7500  0.7500  4 Cl 3.00, 2 La 3.22
Zr  0.9631  0.9631  0.0370  2 Cl 3.03, 6 Zr 3.13-3.22
Zr  0.5369  0.5369  0.4630  2 Cl 3.03, 6 Zr 3.13-3.22

---

(16)
DFT (PBE) results for a relaxed structure of PuCuCl.

Output
Formation energy from raw total energies: -78 kJ per mole of atoms
Calculated density: 7.59 g/cm3
Raw total energy: -22.71 eV per formula unit
Space-group type: R-3m

a = 4.1582 Å, b = 4.1582 Å, c = 10.3126 Å
α = 78.37°, β = 78.37°, γ = 60.00°
Closest atoms and distances in Å follow each position.
Atoms (fractional coordinates):
Cl  0.2820  0.2820  0.1540  3 Pu 2.86
Cl  0.7180  0.7180  0.8460  3 Pu 2.86
Cu  0.1641  0.1641  0.5077  3 Cu 2.41
Cu  0.8359  0.8359  0.4923  3 Cu 2.41
Pu  0.4365  0.4365  0.6906  3 Cl 2.86, 6 Cu 3.02-3.12
Pu  0.5635  0.5635  0.3094  3 Cl 2.86, 6 Cu 3.02-3.12

---

(17)
DFT (PBE) results for a relaxed structure of SrSiBRh2.

Output
Formation energy from raw total energies: 81 kJ per mole of atoms
Calculated density: 4.97 g/cm3
Raw total energy: -24.30 eV per formula unit
Space-group type: P4/mmm

a = 4.4199 Å, b = 5.6894 Å, c = 4.4199 Å
α = 90.00°, β = 90.00°, γ = 90.00°
Closest atoms and distances in Å follow each position.
Atoms (fractional coordinates):
Sr  0.0000  0.5000  0.0000  2 Si 2.84, 4 B 3.13
Si  0.0000  0.0000  0.0000  4 Rh 2.21
B  0.5000  0.5000  0.5000  4 Sr 3.13
Rh  0.0000  0.0000  0.5000  2 Si 2.21
Rh  0.5000  0.0000  0.0000  2 Si 2.21